(1)
Below is a geometry-optimized Cr2Ag structure, with properties calculated at the PBE-GGA level.

## Properties
The crystal system is tetragonal. The calculation puts the formation energy at 1.22 eV per atom.

Lattice parameters (Å, degrees): 4.499 4.499 3.189 90.00 90.00 90.00
Site moments in Bohr magnetons follow the coordinates.
Sites, in units of the cell vectors:
Ag: 0.000 0.000 0.000  0.13
Cr: 0.000 0.500 0.500  3.87
Cr: 0.500 0.000 0.500  3.87

=====

(2)
Below is a geometry-optimized Cs4PaI10 structure, with properties calculated at the PBE-GGA level.

## Properties
The crystal system is tetragonal. As for the formation energy without anion corrections: -1.09 eV per atom.

Lattice parameters (Å, degrees): 8.010 10.905 10.905 82.25 68.45 68.45
Sites, in units of the cell vectors:
Cs: 0.388 0.810 0.413
Cs: 0.802 0.587 0.810
Cs: 0.198 0.413 0.190
Cs: 0.612 0.190 0.587
Pa: 0.000 0.000 0.000
I: 0.250 0.500 0.500
I: 0.696 0.242 0.913
I: 0.062 0.087 0.242
I: 0.391 0.913 0.758
I: 0.851 0.758 0.087
I: 0.304 0.758 0.087
I: 0.750 0.500 0.500
I: 0.149 0.242 0.913
I: 0.609 0.087 0.242
I: 0.938 0.913 0.758

=====

(3)
Below is a geometry-optimized Pr3CuGe4 structure, with properties calculated at the PBE-GGA level.

## Properties
The crystal system is orthorhombic. The calculation puts the formation energy at -0.58 eV per atom.

Lattice parameters (Å, degrees): 4.568 5.899 8.387 110.59 105.80 90.00
Sites, in units of the cell vectors:
Pr: 0.194 0.194 0.388
Pr: 0.806 0.806 0.612
Pr: 0.000 0.500 0.000
Cu: 0.500 0.000 0.000
Ge: 0.382 0.601 0.763
Ge: 0.618 0.399 0.237
Ge: 0.618 0.838 0.237
Ge: 0.382 0.162 0.763

=====

(4)
Below is a geometry-optimized ThZr2CrN4 structure, with properties calculated at the PBE-GGA level.

## Properties
The crystal system is orthorhombic. As for the formation energy without anion corrections: -1.33 eV per atom.

Lattice parameters (Å, degrees): 3.298 5.888 11.059 90.00 90.00 106.27
Site moments in Bohr magnetons follow the coordinates.
Sites, in units of the cell vectors:
Th: 0.101 0.202 0.750  0.05
Th: 0.899 0.798 0.250  0.05
Zr: 0.369 0.738 0.548  -0.03
Zr: 0.631 0.262 0.048  -0.03
Zr: 0.631 0.262 0.452  -0.03
Zr: 0.369 0.738 0.952  -0.03
Cr: 0.841 0.682 0.750  1.02
Cr: 0.159 0.318 0.250  1.02
N: 0.269 0.538 0.120  0.02
N: 0.731 0.462 0.620  0.02
N: 0.731 0.462 0.880  0.02
N: 0.269 0.538 0.380  0.02
N: 0.000 0.000 0.500  0.02
N: 0.000 0.000 0.000  0.02
N: 0.438 0.876 0.750  -0.03
N: 0.562 0.124 0.250  -0.03

=====

(5)
Below is a geometry-optimized PrYIrAu structure, with properties calculated at the PBE-GGA level.

## Properties
The crystal system is cubic. The calculation puts the formation energy at -0.70 eV per atom.

Lattice parameters (Å, degrees): 5.076 5.076 5.076 60.00 60.00 60.00
Sites, in units of the cell vectors:
Pr: 0.250 0.250 0.250
Y: 0.750 0.750 0.750
Ir: 0.500 0.500 0.500
Au: 0.000 0.000 0.000

=====

(6)
Below is a geometry-optimized ZnCoSi structure, with properties calculated at the PBE-GGA level.

## Properties
Its offset from the most stable computed form is 0.1209 eV/atom. The crystal system is trigonal. As for the formation energy without anion corrections: -0.04 eV per atom.

Lattice parameters (Å, degrees): 2.714 2.714 5.988 90.00 90.00 120.00
Site moments in Bohr magnetons follow the coordinates.
Sites, in units of the cell vectors:
Co: 0.000 0.000 0.019  0.18
Si: 0.667 0.333 0.300  -0.01
Zn: 0.333 0.667 0.681  -0.01

=====

(7)
Below is a geometry-optimized Zr3Au structure, with properties calculated at the PBE-GGA level.

## Properties
The crystal system is hexagonal. The calculation puts the formation energy at -0.13 eV per atom.

Lattice parameters (Å, degrees): 3.262 3.262 9.616 90.00 90.00 120.00
Sites, in units of the cell vectors:
Au: 0.000 0.000 0.000
Zr: 0.000 0.000 0.500
Zr: 0.333 0.667 0.237
Zr: 0.333 0.667 0.763

=====

(8)
Below is a geometry-optimized Tl4SnTe5 structure, with properties calculated at the PBE-GGA level.

## Properties
Its offset from the most stable computed form is 0.0000 eV/atom. The crystal system is tetragonal. As for the formation energy without anion corrections: -0.19 eV per atom.

Lattice parameters (Å, degrees): 6.804 7.856 7.856 79.19 64.34 64.34
Sites, in units of the cell vectors:
Tl: 0.409 0.399 0.782
Tl: 0.808 0.782 0.601
Tl: 0.191 0.218 0.399
Tl: 0.590 0.601 0.218
Sn: 0.060 0.000 0.000
Te: 0.889 0.382 0.821
Te: 0.272 0.821 0.618
Te: 0.711 0.179 0.382
Te: 0.093 0.618 0.179
Te: 0.486 0.000 0.000

=====

no.,Fermi-level density of states (states/eV per atom),raw total energy (Ha/atom)
1,1.4854,-0.22601
2,0.6743,-0.10955
3,0.3894,-0.19082
4,0.4358,-0.35863
5,0.8021,-0.24070
6,0.6194,-0.17073
7,1.0467,-0.27050
8,0.4873,-0.11426